The following is a DFT calculation (GGA+U) of crystalline UCoMoO6 at its relaxed geometry.

abc: 4.7639 4.7639 9.6424
angles: 90.00 90.00 90.00
Closest atoms and distances in Å follow each position.
Element x y z (fractional)
1 U 0.0000 0.0000 0.0000  6 O 2.03-2.19
2 U 0.5000 0.5000 0.5000  6 O 2.03-2.19
3 Co 0.0000 0.0000 0.3340  6 O 1.96-2.13
4 Co 0.5000 0.5000 0.8340  6 O 1.96-2.13
5 Mo 0.0000 0.0000 0.6798  6 O 1.94-2.16
6 Mo 0.5000 0.5000 0.1798  6 O 1.94-2.16
7 O 0.1985 0.1985 0.5046  1 U 2.03, 1 Co 2.12, 1 Mo 2.16
8 O 0.2098 0.2098 0.8341  1 Co 1.96, 1 Mo 2.05, 1 U 2.14
9 O 0.2130 0.2130 0.1710  1 Mo 1.94, 1 Co 2.13
10 O 0.2870 0.7130 0.6710  1 Mo 1.94, 1 Co 2.13
11 O 0.2902 0.7098 0.3341  1 Co 1.96, 1 Mo 2.05, 1 U 2.14
12 O 0.3015 0.6985 0.0046  1 U 2.03, 1 Co 2.12, 1 Mo 2.16
13 O 0.6985 0.3015 0.0046  1 U 2.03, 1 Co 2.12, 1 Mo 2.16
14 O 0.7098 0.2902 0.3341  1 Co 1.96, 1 Mo 2.05, 1 U 2.14
15 O 0.7130 0.2870 0.6710  1 Mo 1.94, 1 Co 2.13
16 O 0.7870 0.7870 0.1710  1 Mo 1.94, 1 Co 2.13
17 O 0.7902 0.7902 0.8341  1 Co 1.96, 1 Mo 2.05, 1 U 2.14
18 O 0.8015 0.8015 0.5046  1 U 2.03, 1 Co 2.12, 1 Mo 2.16

Output
M_tot: 1.0 μB/f.u.
symmetry: No. 102
uncorrected energy: -7.934 eV/atom
V: 12.16 Å³ per atom